1.
The following is a PBE calculation of crystalline ScMoH3 at its relaxed geometry, from Alexandria.

a b c (Å): 3.560 3.560 3.560
angles (deg): 90.00 90.00 90.00
Space group Pm-3m (No. 221)
Unique sites:
1 Sc 0.000 0.000 0.000 (multiplicity 1)
2 Mo 0.500 0.500 0.500 (multiplicity 1)
3 H 0.000 0.500 0.500 (multiplicity 3)

=====

2.
The following is a PBE calculation of crystalline ScMoH3 at its relaxed geometry, from Alexandria.

a b c (Å): 3.559 3.559 3.559
angles (deg): 90.00 90.00 90.00
Space group Pm-3m (No. 221)
Unique sites:
1 Sc 0.000 0.000 0.000 (multiplicity 1)
2 Mo 0.500 0.500 0.500 (multiplicity 1)
3 H 0.000 0.000 0.500 (multiplicity 3)

=====

If you had to bet on the most stable structure above, which would it be? Bet on 1.